# 1
# PBE ZrI3F, optimized geometry
# Formation energy without anion corrections   0.355 eV per atom
# Magnetization   0.00 Bohr magnetons per cell
data_ZrI3F
_space_group_name_H-M_alt 'P m -3 m'
_space_group_IT_number 221
_space_group_name_Hall '-P 4 2 3'
_cell_length_a 5.206
_cell_length_b 5.206
_cell_length_c 5.206
_cell_angle_alpha 90.00
_cell_angle_beta 90.00
_cell_angle_gamma 90.00
loop_
_atom_site_label
_atom_site_type_symbol
_atom_site_fract_x
_atom_site_fract_y
_atom_site_fract_z
_atom_site_occupancy
Zr1 Zr 0.000 0.000 0.000 1
I1 I 0.000 0.500 0.500 1
F1 F 0.500 0.500 0.500 1

=====

# 2
# PBE CaZn4SiPt2, optimized geometry
# Formation energy without anion corrections   -0.293 eV per atom
# Magnetization   0.00 Bohr magnetons per cell
data_CaZn4SiPt2
_space_group_name_H-M_alt 'R -3 m'
_space_group_IT_number 166
_space_group_name_Hall '-R 3 2"'
_cell_length_a 4.3082
_cell_length_b 4.3082
_cell_length_c 26.3293
_cell_angle_alpha 90.00
_cell_angle_beta 90.00
_cell_angle_gamma 120.00
loop_
_atom_site_label
_atom_site_type_symbol
_atom_site_fract_x
_atom_site_fract_y
_atom_site_fract_z
_atom_site_occupancy
Ca1 Ca 0.0000 0.0000 0.0000 1
Zn1 Zn 0.0000 0.0000 0.1279 1
Zn2 Zn 0.0000 0.0000 0.4009 1
Si1 Si 0.0000 0.0000 0.5000 1
Pt1 Pt 0.0000 0.0000 0.2454 1

=====

# 3
# PBE SrMnW2, optimized geometry
# Magnetization   5.30 Bohr magnetons per cell
# Final energy   -67.0 eV for the cell shown
data_SrMnW2
_space_group_name_H-M_alt 'C m m 2'
_space_group_IT_number 35
_space_group_name_Hall 'C 2 -2'
_cell_length_a 3.367
_cell_length_b 4.627
_cell_length_c 9.663
_cell_angle_alpha 90.00
_cell_angle_beta 90.00
_cell_angle_gamma 90.00
loop_
_atom_site_label
_atom_site_type_symbol
_atom_site_fract_x
_atom_site_fract_y
_atom_site_fract_z
_atom_site_occupancy
Sr1 Sr 0.000 0.000 0.000 1
Mn1 Mn 0.000 0.500 0.709 1
W1 W 0.000 0.000 0.508 1
W2 W 0.000 0.500 0.290 1